! AlWSeO2, relaxed, DFT PBE with a Hubbard U; values from VASP
! DFT total energy = -4.3230 eV per atom
&SYSTEM
  ibrav = 0, nat = 5, ntyp = 4
/
ATOMIC_SPECIES
O 16.00 O.upf
Se 78.96 Se.upf
W 183.84 W.upf
Al 26.98 Al.upf
CELL_PARAMETERS angstrom
-1.5145 2.2245 2.8901
-4.4444 -2.3689 -0.5056
1.1304 -2.6889 2.6620
ATOMIC_POSITIONS crystal
O 0.0000 0.0000 0.5000
O 0.5000 0.0000 0.0000
Se 0.0000 0.0000 0.0000
W 0.5000 0.5000 0.5000
Al 0.0000 0.5000 0.0000